Record 1
DFT (PBE) results for a relaxed structure of LiZn2Au2.

Results
Energy of formation (eV/atom): -0.322
Crystal system: tetragonal

Structure (CIF):
```
data_LiZn2Au2
_chemical_formula_sum 'Li2 Zn4 Au4'
_symmetry_space_group_name_H-M 'P 4/m b m'
_symmetry_Int_Tables_number 127
_symmetry_space_group_name_Hall '-P 4 2ab'
_cell_length_a 7.3433
_cell_length_b 7.3433
_cell_length_c 3.1236
_cell_angle_alpha 90.00
_cell_angle_beta 90.00
_cell_angle_gamma 90.00
loop_
_atom_site_label
_atom_site_fract_x
_atom_site_fract_y
_atom_site_fract_z
Li1 0.0000 0.0000 0.0000
Zn1 0.1285 0.3715 0.0000
Au1 0.1712 0.6712 0.5000
```

Record 2
DFT (PBE) results for a relaxed structure of LiZn6Au2.

Results
Energy of formation (eV/atom): -0.219
Crystal system: monoclinic

Structure (CIF):
```
data_LiZn6Au2
_chemical_formula_sum 'Li2 Zn12 Au4'
_symmetry_space_group_name_H-M 'C 1 2/m 1'
_symmetry_Int_Tables_number 12
_symmetry_space_group_name_Hall '-C 2y'
_cell_length_a 8.4268
_cell_length_b 4.0540
_cell_length_c 8.2671
_cell_angle_alpha 90.00
_cell_angle_beta 103.52
_cell_angle_gamma 90.00
loop_
_atom_site_label
_atom_site_fract_x
_atom_site_fract_y
_atom_site_fract_z
Li1 0.0000 0.0000 0.0000
Zn1 0.0090 0.0000 0.3362
Zn2 0.1562 0.5000 0.8880
Zn3 0.1622 0.5000 0.5538
Au1 0.1772 0.5000 0.2171
```

Record 3
DFT (PBE) results for a relaxed structure of LiZn2Au2.

Results
Energy of formation (eV/atom): -0.358
Crystal system: monoclinic

Structure (CIF):
```
data_LiZn2Au2
_chemical_formula_sum 'Li2 Zn4 Au4'
_symmetry_space_group_name_H-M 'C 1 2/m 1'
_symmetry_Int_Tables_number 12
_symmetry_space_group_name_Hall '-C 2y'
_cell_length_a 8.7640
_cell_length_b 3.9955
_cell_length_c 6.1840
_cell_angle_alpha 90.00
_cell_angle_beta 133.54
_cell_angle_gamma 90.00
loop_
_atom_site_label
_atom_site_fract_x
_atom_site_fract_y
_atom_site_fract_z
Li1 0.0000 0.0000 0.0000
Zn1 0.0914 0.5000 0.7872
Au1 0.2199 0.0000 0.6400
```

Record 4
DFT (PBE) results for a relaxed structure of Li4Zn4Au.

Results
Energy of formation (eV/atom): -0.271
Crystal system: tetragonal

Structure (CIF):
```
data_Li4Zn4Au
_chemical_formula_sum 'Li8 Zn8 Au2'
_symmetry_space_group_name_H-M 'I 4/m m m'
_symmetry_Int_Tables_number 139
_symmetry_space_group_name_Hall '-I 4 2'
_cell_length_a 8.1225
_cell_length_b 8.1225
_cell_length_c 4.0634
_cell_angle_alpha 90.00
_cell_angle_beta 90.00
_cell_angle_gamma 90.00
loop_
_atom_site_label
_atom_site_fract_x
_atom_site_fract_y
_atom_site_fract_z
Li1 0.1648 0.1648 0.0000
Zn1 0.0000 0.3377 0.5000
Au1 0.0000 0.0000 0.5000
```

Record 5
DFT (PBE) results for a relaxed structure of LiZn6Au8.

Results
Energy of formation (eV/atom): -0.166
Crystal system: trigonal

Structure (CIF):
```
data_LiZn6Au8
_chemical_formula_sum 'Li3 Zn18 Au24'
_symmetry_space_group_name_H-M 'R -3'
_symmetry_Int_Tables_number 148
_symmetry_space_group_name_Hall '-R 3'
_cell_length_a 7.6700
_cell_length_b 7.6700
_cell_length_c 15.9141
_cell_angle_alpha 90.00
_cell_angle_beta 90.00
_cell_angle_gamma 120.00
loop_
_atom_site_label
_atom_site_fract_x
_atom_site_fract_y
_atom_site_fract_z
Li1 0.0000 0.0000 0.0000
Zn1 0.0039 0.6855 0.3912
Au1 0.0000 0.0000 0.3182
Au2 0.0047 0.6867 0.8887
```

Record 6
DFT (PBE) results for a relaxed structure of Li3Zn4Au2.

Results
Energy of formation (eV/atom): -0.369
Crystal system: monoclinic

Structure (CIF):
```
data_Li3Zn4Au2
_chemical_formula_sum 'Li6 Zn8 Au4'
_symmetry_space_group_name_H-M 'C 1 2/m 1'
_symmetry_Int_Tables_number 12
_symmetry_space_group_name_Hall '-C 2y'
_cell_length_a 7.7845
_cell_length_b 4.2822
_cell_length_c 8.1459
_cell_angle_alpha 90.00
_cell_angle_beta 92.69
_cell_angle_gamma 90.00
loop_
_atom_site_label
_atom_site_fract_x
_atom_site_fract_y
_atom_site_fract_z
Li1 0.0000 0.0000 0.0000
Li2 0.1690 0.5000 0.5589
Zn1 0.0028 0.0000 0.6600
Zn2 0.1668 0.5000 0.8882
Au1 0.1644 0.5000 0.2217
```

Record 7
DFT (PBE) results for a relaxed structure of Li2Zn5Au3.

Results
Energy of formation (eV/atom): -0.275
Crystal system: monoclinic

Structure (CIF):
```
data_Li2Zn5Au3
_chemical_formula_sum 'Li8 Zn20 Au12'
_symmetry_space_group_name_H-M 'C 1 2/c 1'
_symmetry_Int_Tables_number 15
_symmetry_space_group_name_Hall '-C 2yc'
_cell_length_a 9.5580
_cell_length_b 12.9921
_cell_length_c 5.2000
_cell_angle_alpha 90.00
_cell_angle_beta 93.69
_cell_angle_gamma 90.00
loop_
_atom_site_label
_atom_site_fract_x
_atom_site_fract_y
_atom_site_fract_z
Li1 0.1227 0.2483 0.1200
Zn1 0.0000 0.0363 0.2500
Zn2 0.1284 0.3472 0.6277
Zn3 0.2450 0.4603 0.9993
Au1 0.0000 0.4503 0.2500
Au2 0.1300 0.1492 0.6183
```

Record 8
DFT (PBE) results for a relaxed structure of LiZn5Au3.

Results
Energy of formation (eV/atom): -0.245
Crystal system: hexagonal

Structure (CIF):
```
data_LiZn5Au3
_chemical_formula_sum 'Li2 Zn10 Au6'
_symmetry_space_group_name_H-M 'P 63/m c m'
_symmetry_Int_Tables_number 193
_symmetry_space_group_name_Hall '-P 6c 2'
_cell_length_a 7.8388
_cell_length_b 7.8388
_cell_length_c 5.4216
_cell_angle_alpha 90.00
_cell_angle_beta 90.00
_cell_angle_gamma 120.00
loop_
_atom_site_label
_atom_site_fract_x
_atom_site_fract_y
_atom_site_fract_z
Li1 0.0000 0.0000 0.0000
Zn1 0.0000 0.3177 0.2500
Zn2 0.3333 0.6667 0.0000
Au1 0.0000 0.3452 0.7500
```

Record 9
DFT (PBE) results for a relaxed structure of Li6ZnAu8.

Results
Energy of formation (eV/atom): -0.389
Crystal system: trigonal

Structure (CIF):
```
data_Li6ZnAu8
_chemical_formula_sum 'Li18 Zn3 Au24'
_symmetry_space_group_name_H-M 'R -3'
_symmetry_Int_Tables_number 148
_symmetry_space_group_name_Hall '-R 3'
_cell_length_a 7.2313
_cell_length_b 7.2313
_cell_length_c 16.6574
_cell_angle_alpha 90.00
_cell_angle_beta 90.00
_cell_angle_gamma 120.00
loop_
_atom_site_label
_atom_site_fract_x
_atom_site_fract_y
_atom_site_fract_z
Li1 0.0085 0.2519 0.2826
Zn1 0.0000 0.0000 0.0000
Au1 0.0000 0.0000 0.4033
Au2 0.0344 0.2564 0.1210
```

Record 10
DFT (PBE) results for a relaxed structure of Li5Zn2Au5.

Results
Energy of formation (eV/atom): -0.436
Crystal system: monoclinic

Structure (CIF):
```
data_Li5Zn2Au5
_chemical_formula_sum 'Li10 Zn4 Au10'
_symmetry_space_group_name_H-M 'C 1 2/m 1'
_symmetry_Int_Tables_number 12
_symmetry_space_group_name_Hall '-C 2y'
_cell_length_a 7.7275
_cell_length_b 4.4662
_cell_length_c 11.9462
_cell_angle_alpha 90.00
_cell_angle_beta 102.44
_cell_angle_gamma 90.00
loop_
_atom_site_label
_atom_site_fract_x
_atom_site_fract_y
_atom_site_fract_z
Li1 0.0000 0.0000 0.0000
Li2 0.1901 0.0000 0.5728
Li3 0.2264 0.5000 0.1744
Zn1 0.0706 0.5000 0.7205
Au1 0.0000 0.5000 0.5000
Au2 0.1095 0.0000 0.3209
Au3 0.1465 0.5000 0.9396
```

Record 11
DFT (PBE) results for a relaxed structure of Li5Zn3Au.

Results
Energy of formation (eV/atom): -0.103
Crystal system: monoclinic

Structure (CIF):
```
data_Li5Zn3Au
_chemical_formula_sum 'Li20 Zn12 Au4'
_symmetry_space_group_name_H-M 'C 1 2/m 1'
_symmetry_Int_Tables_number 12
_symmetry_space_group_name_Hall '-C 2y'
_cell_length_a 6.8074
_cell_length_b 9.4997
_cell_length_c 10.9195
_cell_angle_alpha 90.00
_cell_angle_beta 101.28
_cell_angle_gamma 90.00
loop_
_atom_site_label
_atom_site_fract_x
_atom_site_fract_y
_atom_site_fract_z
Li1 0.0000 0.2380 0.0000
Li2 0.1625 0.0000 0.3344
Li3 0.1650 0.0000 0.8475
Li4 0.1742 0.2522 0.7225
Zn1 0.0000 0.5000 0.0000
Zn2 0.0000 0.5000 0.5000
Zn3 0.1634 0.0000 0.5768
Zn4 0.1807 0.0000 0.0908
Au1 0.0164 0.5000 0.2532
```

Record 12
DFT (PBE) results for a relaxed structure of LiZn2Au3.

Results
Energy of formation (eV/atom): -0.341
Crystal system: orthorhombic

Structure (CIF):
```
data_LiZn2Au3
_chemical_formula_sum 'Li4 Zn8 Au12'
_symmetry_space_group_name_H-M 'C m m m'
_symmetry_Int_Tables_number 65
_symmetry_space_group_name_Hall '-C 2 2'
_cell_length_a 4.3946
_cell_length_b 13.1888
_cell_length_c 6.5670
_cell_angle_alpha 90.00
_cell_angle_beta 90.00
_cell_angle_gamma 90.00
loop_
_atom_site_label
_atom_site_fract_x
_atom_site_fract_y
_atom_site_fract_z
Li1 0.0000 0.1644 0.0000
Zn1 0.0000 0.1689 0.5000
Zn2 0.0000 0.5000 0.0000
Zn3 0.0000 0.5000 0.5000
Au1 0.0000 0.0000 0.2521
Au2 0.0000 0.3317 0.2432
```